First-principles (PBE) data for a geometry-optimized Pm6Pb2O structure, as listed in the Alexandria database.

Summary:
- crystal system = orthorhombic
- E (eV/atom) = -4.98

a b c (Å): 8.3352 8.3352 8.3352
angles (deg): 139.24 129.72 66.64
Atoms (fractional coordinates):
Pm  0.1260  0.3761  0.7499
Pm  0.2446  0.0000  0.2446
Pm  0.3739  0.6239  0.7499
Pm  0.6261  0.3761  0.2501
Pm  0.7554  0.0000  0.7554
Pm  0.8740  0.6239  0.2501
Pb  0.1900  0.1900  0.0000
Pb  0.8100  0.8100  0.0000
O  0.5000  0.5000  0.0000



First-principles (PBE) data for a geometry-optimized Pm4Pb2O structure, as listed in the Alexandria database.

Summary:
- crystal system = monoclinic
- E (eV/atom) = -5.65

a b c (Å): 6.6121 6.8984 9.5252
angles (deg): 90.00 110.24 90.00
Atoms (fractional coordinates):
Pm  0.0357  0.0024  0.2968
Pm  0.0357  0.4976  0.2968
Pm  0.3465  0.2500  0.0446
Pm  0.4332  0.2500  0.6616
Pm  0.5668  0.7500  0.3384
Pm  0.6535  0.7500  0.9554
Pm  0.9643  0.5024  0.7032
Pm  0.9643  0.9976  0.7032
Pb  0.1931  0.7500  0.0259
Pb  0.3475  0.7500  0.6009
Pb  0.6525  0.2500  0.3991
Pb  0.8069  0.2500  0.9741
O  0.1956  0.2500  0.7884
O  0.8044  0.7500  0.2116



First-principles (PBE) data for a geometry-optimized Pm3PbO structure, as listed in the Alexandria database.

Summary:
- crystal system = monoclinic
- E (eV/atom) = -5.84

a b c (Å): 9.3785 6.4234 9.2077
angles (deg): 90.00 111.55 90.00
Atoms (fractional coordinates):
Pm  0.0466  0.1032  0.3440
Pm  0.0466  0.3968  0.8440
Pm  0.1758  0.5779  0.5416
Pm  0.1758  0.9221  0.0416
Pm  0.3526  0.1306  0.7566
Pm  0.3526  0.3694  0.2566
Pm  0.6474  0.6306  0.7434
Pm  0.6474  0.8694  0.2434
Pm  0.8242  0.0779  0.9584
Pm  0.8242  0.4221  0.4584
Pm  0.9534  0.6032  0.1560
Pm  0.9534  0.8968  0.6560
Pb  0.3707  0.6506  0.8995
Pb  0.3707  0.8494  0.3995
Pb  0.6293  0.1506  0.6005
Pb  0.6293  0.3494  0.1005
O  0.0725  0.2448  0.6077
O  0.0725  0.2552  0.1077
O  0.9275  0.7448  0.8923
O  0.9275  0.7552  0.3923



First-principles (PBE) data for a geometry-optimized Pm3PbO2 structure, as listed in the Alexandria database.

Summary:
- crystal system = orthorhombic
- E (eV/atom) = -6.56

a b c (Å): 3.5393 11.2793 6.4232
angles (deg): 90.00 90.00 90.00
Atoms (fractional coordinates):
Pm  0.0000  0.0992  0.0000
Pm  0.0000  0.9008  0.5000
Pm  0.5000  0.1626  0.5040
Pm  0.5000  0.3885  0.8350
Pm  0.5000  0.6115  0.3350
Pm  0.5000  0.8374  0.0040
Pb  0.0000  0.3642  0.2679
Pb  0.0000  0.6358  0.7679
O  0.0000  0.2463  0.7459
O  0.0000  0.7537  0.2459
O  0.5000  0.0024  0.2514
O  0.5000  0.9976  0.7514



First-principles (PBE) data for a geometry-optimized Pm4PbO structure, as listed in the Alexandria database.

Summary:
- crystal system = monoclinic
- E (eV/atom) = -5.63

a b c (Å): 5.0839 9.6518 7.1923
angles (deg): 90.00 90.03 90.00
Atoms (fractional coordinates):
Pm  0.2493  0.2500  0.2215
Pm  0.2502  0.0502  0.7251
Pm  0.2502  0.4498  0.7251
Pm  0.2502  0.7500  0.0673
Pm  0.7498  0.2500  0.9327
Pm  0.7498  0.5502  0.2749
Pm  0.7498  0.9498  0.2749
Pm  0.7507  0.7500  0.7785
Pb  0.2507  0.7500  0.5068
Pb  0.7493  0.2500  0.4932
O  0.2495  0.2500  0.9022
O  0.7505  0.7500  0.0978



First-principles (PBE) data for a geometry-optimized Pm3PbO2 structure, as listed in the Alexandria database.

Summary:
- crystal system = hexagonal
- E (eV/atom) = -6.45

a b c (Å): 6.6291 6.6291 3.2608
angles (deg): 90.00 90.00 120.00
Atoms (fractional coordinates):
Pm  0.0000  0.5000  0.0000
Pm  0.5000  0.0000  0.0000
Pm  0.5000  0.5000  0.0000
Pb  0.0000  0.0000  0.6098
O  0.3333  0.6667  0.4964
O  0.6667  0.3333  0.4964



The lowest E belongs to which entry?
number 4